No. 1
Below is a relaxed Sr4Mg crystal, with properties calculated at the PBEsol level.

The structure in POSCAR format:
```
Sr4Mg
1.0
6.9517 0.0000 0.0000
-2.3172 6.5541 0.0000
-2.3172 -3.2770 5.6760
Mg Sr
1 4
Direct
0.0000 0.0000 0.0000 Mg
0.5000 0.0000 0.0000 Sr
0.5000 0.5000 0.5000 Sr
0.0000 0.5000 0.0000 Sr
0.0000 0.0000 0.5000 Sr
```

Calculated values
Energy relative to the elements (eV per atom): 0.243
DFT total energy (eV/atom): -1.573
Relative energy among the computed polymorphs (meV/atom): 245
Size of the total moment (Bohr magnetons per cell): 0.00
DOS at the Fermi energy (states/eV per cell): 5.4

No. 2
Below is a relaxed SrMg crystal, with properties calculated at the PBEsol level.

The structure in POSCAR format:
```
SrMg
1.0
-3.8455 -1.0849 -0.5557
3.3532 -1.2023 -6.2142
1.2256 -6.6067 4.4167
Sr Mg
3 3
Direct
0.9437 0.8875 0.9216 Sr
0.6581 0.3161 0.7772 Sr
0.6362 0.2724 0.2915 Sr
0.3207 0.6414 0.5724 Mg
0.9574 0.9148 0.4438 Mg
0.3173 0.6345 0.1602 Mg
```

Calculated values
Energy relative to the elements (eV per atom): -0.004
DFT total energy (eV/atom): -1.783
Size of the total moment (Bohr magnetons per cell): 0.00
DOS at the Fermi energy (states/eV per cell): 5.4

No. 3
Below is a relaxed SrMg5 crystal, with properties calculated at the PBEsol level.

The structure in POSCAR format:
```
SrMg5
1.0
3.6299 0.0000 0.0000
0.0000 3.6299 0.0000
0.0000 0.0000 11.9568
Sr Mg
1 5
Direct
0.5000 0.5000 0.0000 Sr
0.0000 0.0000 0.7935 Mg
0.0000 0.0000 0.2065 Mg
0.5000 0.5000 0.6488 Mg
0.5000 0.5000 0.3512 Mg
0.0000 0.0000 0.5000 Mg
```

Calculated values
Energy relative to the elements (eV per atom): -0.003
DFT total energy (eV/atom): -1.741
Relative energy among the computed polymorphs (meV/atom): 45
Size of the total moment (Bohr magnetons per cell): 0.00
DOS at the Fermi energy (states/eV per cell): 3.6